Record 1
Entry from the Alexandria database: a relaxed structure of PIrF (PBE).

Output
* total magnetization: 0.0 μB per formula unit
* theoretical density: 8.2 Mg/m³
* distance to the lowest polymorph of the same formula: 0.446 eV/atom
* raw formation energy: -0.55 eV/atom
* crystal system: monoclinic
* SG: Cm (8)

a b c (Å): 6.0568 3.3723 4.8656
angles (deg): 90.00 100.86 90.00
Atoms (fractional coordinates):
Ir1 0.0603 0.5000 0.0891
Ir2 0.0603 0.0000 0.5891
P1 0.3060 0.0000 0.2815
F1 0.8012 0.0000 0.8824
F2 0.8012 0.5000 0.3824
P2 0.3060 0.5000 0.7815


Record 2
Entry from the Alexandria database: a relaxed structure of Zr2SiMo (PBE).

Output
* total magnetization: 0.0 μB per formula unit
* theoretical density: 6.9 Mg/m³
* raw formation energy: -0.30 eV/atom
* crystal system: tetragonal
* SG: P4mm (99)

a b c (Å): 3.4131 3.4131 6.3449
angles (deg): 90.00 90.00 90.00
Atoms (fractional coordinates):
Zr1 0.5000 0.5000 0.2686
Mo1 0.0000 0.0000 0.5478
Zr2 0.0000 0.0000 0.9654
Si1 0.5000 0.5000 0.7183


Record 3
Entry from the Alexandria database: a relaxed structure of Tb8NdTm3 (PBE).

Output
* energy of formation from the pure elements: 4.10 eV per formula unit
* total magnetization: 0.0 μB per formula unit
* theoretical density: 7.7 Mg/m³
* crystal system: orthorhombic
* SG: Immm (71)

a b c (Å): 8.6213 8.6213 8.6213
angles (deg): 97.46 136.08 98.63
Atoms (fractional coordinates):
Tb1 0.9851 0.7408 0.2450
Tm1 0.5000 0.7402 0.2402
Tb2 0.1671 0.4183 0.2509
Tb3 0.8329 0.0837 0.2512
Tb4 0.5042 0.2592 0.2443
Tb5 0.0149 0.2599 0.7557
Tb6 0.4958 0.7401 0.7550
Nd1 0.0000 0.0000 0.0000
Tm2 0.5000 0.2598 0.7598
Tb7 0.8325 0.5817 0.7488
Tm3 0.0000 0.5000 0.5000
Tb8 0.1675 0.9163 0.7491


Record 4
Entry from the Alexandria database: a relaxed structure of Cs3TiBi4 (PBE).

Output
* energy of formation from the pure elements: -1.18 eV per formula unit
* total magnetization: 0.2 μB per formula unit
* theoretical density: 5.4 Mg/m³
* crystal system: monoclinic
* SG: C2 (5)

a b c (Å): 7.9231 7.6644 9.2367
angles (deg): 124.16 115.40 90.00
Site moments in Bohr magnetons follow the coordinates.
Atoms (fractional coordinates):
Cs1 0.7199 0.2405 0.5530  0.00
Bi1 0.6362 0.7540 0.9528  -0.01
Bi2 0.6835 0.2460 0.0472  -0.01
Cs2 0.1395 0.0000 0.0000  0.00
Ti1 0.4522 0.5000 0.0000  0.23
Cs3 0.1669 0.7595 0.4470  0.00
Bi3 0.6213 0.6249 0.3898  -0.02
Bi4 0.2315 0.3751 0.6102  -0.02


What did the second record say?
Entry from the Alexandria database: a relaxed structure of Zr2SiMo (PBE).

Output
* total magnetization: 0.0 μB per formula unit
* theoretical density: 6.9 Mg/m³
* raw formation energy: -0.30 eV/atom
* crystal system: tetragonal
* SG: P4mm (99)

a b c (Å): 3.4131 3.4131 6.3449
angles (deg): 90.00 90.00 90.00
Atoms (fractional coordinates):
Zr1 0.5000 0.5000 0.2686
Mo1 0.0000 0.0000 0.5478
Zr2 0.0000 0.0000 0.9654
Si1 0.5000 0.5000 0.7183


Look up the theoretical density of the first one. 8.2 Mg/m³